No. 1
# PBE-GGA LaCdSi2, optimized geometry
data_LaCdSi2
_space_group_name_H-M_alt 'C 1 2/m 1'
_space_group_IT_number 12
_space_group_name_Hall '-C 2y'
_cell_length_a 9.0224
_cell_length_b 3.9645
_cell_length_c 5.5485
_cell_angle_alpha 90.00
_cell_angle_beta 111.15
_cell_angle_gamma 90.00
loop_
_atom_site_label
_atom_site_type_symbol
_atom_site_fract_x
_atom_site_fract_y
_atom_site_fract_z
_atom_site_occupancy
La1 La 0.0000 0.0000 0.0000 1
Cd1 Cd 0.0000 0.5000 0.5000 1
Si1 Si 0.2422 0.0000 0.6412 1
# - energy (eV for the cell shown) = -35.4



No. 2
# PBE-GGA LaCd4Si, optimized geometry
data_LaCd4Si
_space_group_name_H-M_alt 'F -4 3 m'
_space_group_IT_number 216
_space_group_name_Hall 'F -4 2 3'
_cell_length_a 8.3867
_cell_length_b 8.3867
_cell_length_c 8.3867
_cell_angle_alpha 90.00
_cell_angle_beta 90.00
_cell_angle_gamma 90.00
loop_
_atom_site_label
_atom_site_type_symbol
_atom_site_fract_x
_atom_site_fract_y
_atom_site_fract_z
_atom_site_occupancy
La1 La 0.0000 0.0000 0.0000 1
Cd1 Cd 0.1245 0.1245 0.3755 1
Si1 Si 0.2500 0.2500 0.7500 1
# - energy (eV for the cell shown) = -54.6



Number 1: formation energy from raw total energies -253 meV/atom, total magnetic moment 0.0 μB per formula unit. Number 2: formation energy from raw total energies 60 meV/atom, total magnetic moment 0.0 μB per formula unit.